A plane-wave DFT calculation with GGA-PBE was carried out for a relaxed structure of LaTbPrHg.

Values from the calculation:
For the offset from the most stable computed form, the calculation gives 0.0 meV/atom. The magnetization is 0.001 μB per formula unit.

a = 3.7543 Å, b = 3.7543 Å, c = 8.8737 Å
α = 90.00°, β = 90.00°, γ = 90.00°
Closest atoms and distances in Å follow each position.
Sites, in units of the cell vectors:
La (0.0000, 0.0000, 0.0797)  4 Tb 3.62, 4 Pr 3.69, 4 La 3.75
Tb (0.5000, 0.5000, 0.3574)  4 Hg 3.19
Pr (0.5000, 0.5000, 0.7909)  4 Hg 3.37, 4 La 3.69, 4 Pr 3.75
Hg (0.0000, 0.0000, 0.5567)  4 Tb 3.19, 4 Pr 3.37